[1]
# BeCoSb2 (PBE, relaxed)
# - spin magnetization (μB per cell) = 0.00
# - E_form (uncorrected) (eV per atom) = 0.54
data_BeCoSb2
_chemical_formula_sum 'Be1 Co1 Sb2'
_cell_length_a 4.4714
_cell_length_b 4.4714
_cell_length_c 3.4735
_cell_angle_alpha 90.00
_cell_angle_beta 90.00
_cell_angle_gamma 90.00
_symmetry_space_group_name_H-M 'P 4/m m m'
_symmetry_Int_Tables_number 123
_symmetry_space_group_name_Hall '-P 4 2'
loop_
_atom_site_label
_atom_site_fract_x
_atom_site_fract_y
_atom_site_fract_z
Be1 0.0000 0.0000 0.0000
Co1 0.5000 0.5000 0.0000
Sb1 0.0000 0.5000 0.5000



[2]
# BeCoSb2 (PBE, relaxed)
# - spin magnetization (μB per cell) = 0.00
# - E_form (uncorrected) (eV per atom) = 0.45
data_BeCoSb2
_chemical_formula_sum 'Be1 Co1 Sb2'
_cell_length_a 3.0568
_cell_length_b 3.2306
_cell_length_c 7.3643
_cell_angle_alpha 90.00
_cell_angle_beta 98.30
_cell_angle_gamma 90.00
_symmetry_space_group_name_H-M 'P 1 2/m 1'
_symmetry_Int_Tables_number 10
loop_
_symmetry_equiv_pos_as_xyz
'x,y,z'
'-x,-y,-z'
'-x,y,-z'
'x,-y,z'
loop_
_atom_site_label
_atom_site_fract_x
_atom_site_fract_y
_atom_site_fract_z
Be1 0.0000 0.0000 0.0000
Co1 0.5000 0.0000 0.5000
Sb1 0.0922 0.5000 0.7254



[3]
# BeCoSb2 (PBE, relaxed)
# - spin magnetization (μB per cell) = 0.00
# - E_form (uncorrected) (eV per atom) = 0.52
data_BeCoSb2
_chemical_formula_sum 'Be2 Co2 Sb4'
_cell_length_a 6.0330
_cell_length_b 7.0902
_cell_length_c 3.3660
_cell_angle_alpha 90.00
_cell_angle_beta 103.03
_cell_angle_gamma 90.00
_symmetry_space_group_name_H-M 'C 1 2/m 1'
_symmetry_Int_Tables_number 12
loop_
_symmetry_equiv_pos_as_xyz
'x,y,z'
'-x,-y,-z'
'-x,y,-z'
'x,-y,z'
'x+1/2,y+1/2,z'
'-x+1/2,-y+1/2,-z'
'-x+1/2,y+1/2,-z'
'x+1/2,-y+1/2,z'
loop_
_atom_site_label
_atom_site_fract_x
_atom_site_fract_y
_atom_site_fract_z
Be1 0.0000 0.0000 0.0000
Co1 0.0000 0.5000 0.0000
Sb1 0.2500 0.2500 0.5000



> What is the E_form (uncorrected) in the first record?

0.54 eV per atom



> Which of these has the lowest E_form (uncorrected)?

number 2



> E_form (uncorrected) of number 1 (BeCoSb2)?

0.54 eV per atom